P.
CeThCdTc after structural relaxation. Source: Alexandria, functional GGA-PBE.

The structure belongs to space group F-43m (No. 216); the cell edges are 7.316, 7.316 and 7.316 Å and the angles 90.00°, 90.00° and 90.00°. The asymmetric unit holds Ce at (0.000, 0.000, 0.000), Th at (0.000, 0.000, 0.500), Cd at (0.250, 0.250, 0.250) and Tc at (0.250, 0.250, 0.750).

***

Q.
CeThCdTc after structural relaxation. Source: Alexandria, functional GGA-PBE.

The structure belongs to space group P4mm (No. 99); the cell edges are 3.419, 3.419 and 8.543 Å and the angles 90.00°, 90.00° and 90.00°. The asymmetric unit holds Ce at (0.000, 0.000, 0.000), Th at (0.000, 0.000, 0.413), Cd at (0.500, 0.500, 0.712) and Tc at (0.500, 0.500, 0.202).

***

The structure with the most favorable energy is Q; the runner-up is 153 meV/atom above it.